Compound: InGaWO6
Source: the Alexandria database
Functional: PBE+U
Structure: relaxed

Calculated values
Crystal system: trigonal
Total magnetic moment (μB/f.u.): 0.00
D(E_F) (states/eV per cell): 0.00
Calculated volume (Å³ per atom): 11.92
Uncorrected energy (Ha/atom): -0.240

Cell lengths 5.152, 5.152, 9.336 Å; angles 90.00, 90.00, 120.00 degrees
Positions (direct):
In1 0.000 0.000 0.000
In2 0.000 0.000 0.500
Ga1 0.333 0.667 0.250
Ga2 0.667 0.333 0.750
W1 0.667 0.333 0.250
W2 0.333 0.667 0.750
O1 0.649 0.641 0.135
O2 0.992 0.351 0.135
O3 0.351 0.992 0.635
O4 0.008 0.649 0.865
O5 0.359 0.351 0.365
O6 0.992 0.641 0.365
O7 0.641 0.992 0.865
O8 0.649 0.008 0.365
O9 0.008 0.359 0.635
O10 0.359 0.008 0.135
O11 0.641 0.649 0.635
O12 0.351 0.359 0.865